No. 1
The following is a DFT calculation (GGA-PBE) of a relaxed RbMgRhCl6 crystal.

Cell: 6.3651 6.3651 7.4472 Å, 90.00 90.00 120.00°
Space group P312 (No. 149)
One atom of each set of equivalent atoms:
Rb 0.0000 0.0000 0.0000 [1 per cell]
Mg 0.6667 0.3333 0.5000 [1 per cell]
Rh 0.3333 0.6667 0.5000 [1 per cell]
Cl 0.0173 0.3748 0.6839 [6 per cell]

**Uncorrected energy**: -3.6752 eV per atom
**DOS(E_F)**: 0.0 states/eV/f.u.


No. 2
The following is a DFT calculation (GGA-PBE) of a relaxed RbMgRuCl6 crystal.

Cell: 6.3932 6.3932 7.4442 Å, 90.00 90.00 120.00°
Space group P312 (No. 149)
One atom of each set of equivalent atoms:
Rb 0.0000 0.0000 0.0000 [1 per cell]
Mg 0.6667 0.3333 0.5000 [1 per cell]
Ru 0.3333 0.6667 0.5000 [1 per cell]
Cl 0.0160 0.3753 0.6847 [6 per cell]

**Uncorrected energy**: -3.8275 eV per atom
**DOS(E_F)**: 8.8 states/eV/f.u.


No. 3
The following is a DFT calculation (GGA-PBE) of a relaxed RbMgS2Cl crystal.

Cell: 4.932 4.932 5.425 Å, 90.00 90.00 90.00°
Space group P4/mmm (No. 123)
One atom of each set of equivalent atoms:
Rb 0.000 0.000 0.000 [1 per cell]
Mg 0.500 0.500 0.500 [1 per cell]
S 0.000 0.500 0.500 [2 per cell]
Cl 0.500 0.500 0.000 [1 per cell]

**DOS(E_F)**: 5.2 states/eV/f.u.
**Energy above the lowest structure with this stoichiometry**: 0 meV per atom


No. 4
The following is a DFT calculation (GGA-PBE) of a relaxed Rb2MgSCl6 crystal.

Cell: 7.818 7.818 9.094 Å, 90.00 90.00 90.00°
Space group I4/mmm (No. 139)
One atom of each set of equivalent atoms:
Rb 0.000 0.500 0.250 [4 per cell]
Mg 0.000 0.000 0.000 [2 per cell]
S 0.000 0.000 0.500 [2 per cell]
Cl 0.000 0.000 0.264 [4 per cell]
Cl 0.226 0.226 0.000 [8 per cell]

**Uncorrected energy**: -3.0494 eV per atom
**DOS(E_F)**: 0.0 states/eV/f.u.


No. 5
The following is a DFT calculation (GGA-PBE) of a relaxed RbMgS2Cl crystal.

Cell: 5.427 5.427 5.727 Å, 90.00 90.00 90.00°
Space group P4/mmm (No. 123)
One atom of each set of equivalent atoms:
Rb 0.000 0.000 0.000 [1 per cell]
Mg 0.500 0.500 0.500 [1 per cell]
S 0.000 0.500 0.000 [2 per cell]
Cl 0.000 0.000 0.500 [1 per cell]

**DOS(E_F)**: 3.6 states/eV/f.u.
**Energy above the lowest structure with this stoichiometry**: 1332 meV per atom


No. 6
The following is a DFT calculation (GGA-PBE) of a relaxed Rb2MgSbCl6 crystal.

Cell: 10.481 10.480 7.803 Å, 90.00 132.00 90.00°
Space group C2/m (No. 12)
One atom of each set of equivalent atoms:
Rb 0.000 0.250 0.000 [4 per cell]
Mg 0.000 0.000 0.500 [2 per cell]
Sb 0.000 0.500 0.500 [2 per cell]
Cl 0.000 0.247 0.500 [4 per cell]
Cl 0.208 0.000 0.917 [4 per cell]
Cl 0.246 0.000 0.499 [4 per cell]

**Uncorrected energy**: -3.3313 eV per atom


No. 7
The following is a DFT calculation (GGA-PBE) of a relaxed RbMgSbCl6 crystal.

Cell: 6.8256 6.8256 7.3297 Å, 90.00 90.00 120.00°
Space group P312 (No. 149)
One atom of each set of equivalent atoms:
Rb 0.0000 0.0000 0.0000 [1 per cell]
Mg 0.3333 0.6667 0.5000 [1 per cell]
Sb 0.6667 0.3333 0.5000 [1 per cell]
Cl 0.0160 0.3820 0.7022 [6 per cell]

**Uncorrected energy**: -3.4388 eV per atom
**DOS(E_F)**: 0.0 states/eV/f.u.


No. 8
The following is a DFT calculation (GGA-PBE) of a relaxed RbMgScCl6 crystal.

Cell: 6.5822 6.5822 14.7164 Å, 90.00 90.00 120.00°
Space group P-31c (No. 163)
One atom of each set of equivalent atoms:
Rb 0.0000 0.0000 0.0000 [2 per cell]
Mg 0.3333 0.6667 0.2500 [2 per cell]
Sc 0.3333 0.6667 0.7500 [2 per cell]
Cl 0.0019 0.3776 0.6520 [12 per cell]

**Uncorrected energy**: -4.2507 eV per atom
**DOS(E_F)**: 0.0 states/eV/f.u.